The following is a DFT calculation (GGA-PBEsol) of CeC2 after structural relaxation.

```
CeC2
1.0
3.700 0.000 0.000
-1.850 3.630 -0.014
0.000 1.897 3.176
C Ce
2 1
Direct
0.395 0.789 0.605 C
0.605 0.211 0.395 C
0.000 0.000 0.000 Ce
```

Properties
Formation energy (eV/f.u.): -0.36
Space-group type: I4/mmm, No. 139
Calculated volume (A^3/atom): 14.25
Final energy (eV/atom): -8.748
N(E_F) (states/eV/cell): 3.1